Record 1
TbHo3Tm6 | PBE | optimized geometry

```
TbHo3Tm6
1.0
-1.258 4.711 -3.963
10.194 -1.337 -4.825
-10.033 -4.730 -2.438
Tm Ho Tb
12 6 2
Direct
0.068 0.379 0.257
0.830 0.895 0.458
0.568 0.621 0.743
0.830 0.542 0.105
0.286 0.698 0.302
0.330 0.458 0.895
0.318 0.985 0.015
0.068 0.743 0.621
0.786 0.302 0.698
0.568 0.257 0.379
0.330 0.105 0.542
0.818 0.015 0.985
0.488 0.297 0.042
0.488 0.958 0.703
0.595 0.580 0.420
0.988 0.042 0.297
0.988 0.703 0.958
0.095 0.420 0.580
0.014 0.162 0.838
0.514 0.838 0.162
```

Output
For the polymorph energy (0 for the lowest one), the calculation gives 0.00 kcal/mol of atoms.

---

Record 2
Tb4Ho3Tm | PBE | optimized geometry

```
Tb4Ho3Tm
1.0
-3.794 -3.042 -2.737
1.519 -2.982 1.208
-5.799 1.793 11.724
Tb Ho Tm
4 3 1
Direct
0.277 0.499 0.554
0.603 0.500 0.205
0.397 0.500 0.795
0.723 0.501 0.446
0.847 0.000 0.693
0.153 0.000 0.307
0.000 0.500 0.000
0.500 0.000 0.000
```

Output
For the polymorph energy (0 for the lowest one), the calculation gives 4.29 kcal/mol of atoms.

---

Record 3
Tb2HoTm | PBE | optimized geometry

```
Tb2HoTm
1.0
5.594 0.000 0.000
0.000 12.481 0.000
0.000 0.000 7.217
Tm Ho Tb
4 4 8
Direct
0.943 0.167 0.250
0.443 0.833 0.750
0.443 0.333 0.750
0.943 0.667 0.250
0.943 0.167 0.750
0.443 0.833 0.250
0.943 0.667 0.750
0.443 0.333 0.250
0.943 0.916 0.999
0.943 0.416 0.501
0.443 0.084 0.500
0.443 0.584 0.000
0.443 0.084 0.001
0.443 0.584 0.499
0.943 0.416 0.000
0.943 0.916 0.500
```

Output
For the polymorph energy (0 for the lowest one), the calculation gives 0.00 kcal/mol of atoms.

---

Record 4
Tb7HoTm3 | PBE | optimized geometry

```
Tb7HoTm3
1.0
8.362 -0.736 -2.834
-2.220 9.547 -0.621
-1.874 -0.098 5.169
Tm Tb Ho
3 7 1
Direct
0.221 0.001 0.721
0.000 0.500 0.000
0.779 0.999 0.279
0.918 0.831 0.918
0.082 0.169 0.082
0.353 0.709 0.853
0.500 0.000 0.500
0.178 0.358 0.678
0.647 0.291 0.147
0.822 0.642 0.322
0.500 0.500 0.500
```

Output
For the polymorph energy (0 for the lowest one), the calculation gives 0.00 kcal/mol of atoms.

---

Record 5
Tb3Ho9Tm2 | PBE | optimized geometry

```
Tb3Ho9Tm2
1.0
5.817 1.104 1.859
4.523 11.513 5.553
2.487 3.886 9.275
Ho Tb Tm
9 3 2
Direct
0.405 0.703 0.984
0.817 0.902 0.492
0.700 0.933 0.838
0.243 0.099 0.140
0.018 0.502 0.826
0.193 0.100 0.509
0.610 0.293 0.008
0.994 0.515 0.151
0.030 0.501 0.491
0.904 0.930 0.101
0.401 0.733 0.633
0.629 0.286 0.331
0.627 0.300 0.660
0.426 0.701 0.336
```

---

Record 6
Tb5Ho2Tm3 | PBE | optimized geometry

```
Tb5Ho2Tm3
1.0
-2.860 -5.734 -1.771
6.871 -8.421 3.695
-0.714 -6.427 9.485
Ho Tb Tm
4 10 6
Direct
0.555 0.196 0.694
0.945 0.306 0.804
0.055 0.694 0.196
0.445 0.804 0.306
0.918 0.832 0.832
0.250 0.500 0.500
0.582 0.168 0.168
0.209 0.465 0.117
0.082 0.168 0.168
0.291 0.883 0.535
0.750 0.500 0.500
0.418 0.832 0.832
0.709 0.117 0.465
0.791 0.535 0.883
0.874 0.807 0.446
0.126 0.193 0.554
0.626 0.554 0.193
0.250 0.000 0.000
0.750 0.000 0.000
0.374 0.446 0.807
```

Output
For the polymorph energy (0 for the lowest one), the calculation gives 0.96 kcal/mol of atoms.

---

Record 7
Tb2Ho3Tm2 | PBE | optimized geometry

```
Tb2Ho3Tm2
1.0
3.479 -0.139 0.481
0.512 10.531 -0.586
0.924 -0.304 6.007
Tb Tm Ho
2 2 3
Direct
0.715 0.144 0.570
0.285 0.856 0.430
0.571 0.713 0.858
0.429 0.287 0.142
0.857 0.571 0.285
0.000 0.000 0.000
0.143 0.429 0.715
```

---

Record 8
TbHoTm6 | PBE | optimized geometry

```
TbHoTm6
1.0
-5.692 3.406 0.592
-3.098 -4.617 -3.302
-4.723 -2.170 4.413
Tm Tb Ho
6 1 1
Direct
0.906 0.230 0.521
0.426 0.269 0.481
0.574 0.731 0.519
0.450 0.250 0.000
0.550 0.750 0.000
0.094 0.770 0.479
0.000 0.500 0.000
0.000 0.000 0.000
```

Output
For the polymorph energy (0 for the lowest one), the calculation gives 0.00 kcal/mol of atoms.

---

Record 9
Tb4HoTm3 | PBE | optimized geometry

```
Tb4HoTm3
1.0
6.235 0.000 0.000
0.000 7.211 0.000
0.000 0.000 11.163
Tm Tb Ho
6 8 2
Direct
0.981 0.623 0.750
0.481 0.377 0.750
0.648 0.623 0.000
0.148 0.377 0.500
0.481 0.377 0.250
0.981 0.623 0.250
0.648 0.127 0.000
0.148 0.873 0.500
0.146 0.873 0.000
0.481 0.873 0.249
0.481 0.873 0.751
0.981 0.127 0.251
0.646 0.127 0.500
0.981 0.127 0.749
0.148 0.377 0.000
0.648 0.623 0.500
```

Output
For the polymorph energy (0 for the lowest one), the calculation gives 0.00 kcal/mol of atoms.

---

Record 10
TbHo8Tm5 | PBE | optimized geometry

```
TbHo8Tm5
1.0
-3.674 6.565 -3.592
-5.467 -6.152 1.329
3.208 2.774 7.177
Tm Ho Tb
5 8 1
Direct
0.283 0.097 0.963
0.500 0.000 0.500
0.037 0.321 0.134
0.814 0.679 0.717
0.866 0.903 0.186
0.575 0.918 0.838
0.727 0.254 0.333
0.162 0.738 0.080
0.667 0.394 0.921
0.079 0.746 0.473
0.342 0.262 0.425
0.527 0.606 0.273
0.920 0.082 0.658
0.250 0.500 0.750
```

---

Record 11
TbHoTm5 | PBE | optimized geometry

```
TbHoTm5
1.0
-3.195 3.447 4.692
-6.603 0.636 -0.307
-7.506 -6.788 8.933
Tm Tb Ho
10 2 2
Direct
0.306 0.350 0.000
0.387 0.168 0.252
0.835 0.165 0.250
0.168 0.387 0.752
0.832 0.613 0.248
0.350 0.306 0.500
0.165 0.835 0.750
0.650 0.694 0.500
0.694 0.650 0.000
0.613 0.832 0.748
0.723 0.277 0.750
0.277 0.723 0.250
0.000 0.000 0.500
0.000 0.000 0.000
```

Output
For the polymorph energy (0 for the lowest one), the calculation gives 0.00 kcal/mol of atoms.

---

Record 12
Tb2Ho5Tm3 | PBE | optimized geometry

```
Tb2Ho5Tm3
1.0
-0.256 -6.385 1.732
9.975 -3.026 2.970
2.324 -0.659 10.566
Tm Ho Tb
6 10 4
Direct
0.250 0.000 0.000
0.828 0.882 0.463
0.750 0.000 0.000
0.672 0.537 0.118
0.328 0.463 0.882
0.172 0.118 0.537
0.067 0.183 0.183
0.831 0.570 0.769
0.669 0.231 0.430
0.433 0.817 0.817
0.750 0.500 0.500
0.250 0.500 0.500
0.331 0.769 0.570
0.567 0.183 0.183
0.933 0.817 0.817
0.169 0.430 0.231
0.974 0.261 0.791
0.526 0.209 0.739
0.026 0.739 0.209
0.474 0.791 0.261
```

Output
For the polymorph energy (0 for the lowest one), the calculation gives 1.71 kcal/mol of atoms.

---

Record 13
Tb3Ho8Tm | PBE | optimized geometry

```
Tb3Ho8Tm
1.0
6.637 0.000 -3.754
-2.124 6.288 -3.754
0.843 1.174 9.233
Tb Ho Tm
3 8 1
Direct
0.250 0.750 0.500
0.750 0.250 0.500
0.500 0.500 0.000
0.125 0.125 0.751
0.626 0.125 0.751
0.374 0.875 0.249
0.374 0.374 0.249
0.875 0.374 0.249
0.626 0.626 0.751
0.875 0.875 0.249
0.125 0.626 0.751
0.000 0.000 0.000
```

---

Record 14
TbHo6Tm2 | PBE | optimized geometry

```
TbHo6Tm2
1.0
9.945 0.737 4.256
4.731 7.642 2.759
2.920 -2.122 8.681
Tm Tb Ho
4 2 12
Direct
0.523 0.915 0.758
0.477 0.085 0.242
0.023 0.758 0.915
0.977 0.242 0.085
0.750 0.667 0.333
0.250 0.333 0.667
0.822 0.985 0.707
0.782 0.017 0.334
0.399 0.603 0.404
0.322 0.707 0.985
0.678 0.293 0.015
0.218 0.983 0.666
0.899 0.404 0.603
0.718 0.666 0.983
0.282 0.334 0.017
0.178 0.015 0.293
0.601 0.397 0.596
0.101 0.596 0.397
```

Output
For the polymorph energy (0 for the lowest one), the calculation gives 0.00 kcal/mol of atoms.

---

Record 15
Tb12Ho2Tm | PBE | optimized geometry

```
Tb12Ho2Tm
1.0
-4.115 -0.368 5.161
-5.724 -3.083 -1.201
8.779 -23.123 1.661
Tb Ho Tm
24 4 2
Direct
0.332 0.668 0.444
0.183 0.317 0.575
0.100 0.900 0.799
0.817 0.683 0.425
0.600 0.400 0.799
0.832 0.168 0.444
0.317 0.183 0.425
0.005 0.995 0.671
0.505 0.495 0.671
0.054 0.946 0.073
0.168 0.832 0.556
0.946 0.054 0.927
0.683 0.817 0.575
0.900 0.100 0.201
0.101 0.399 0.137
0.400 0.600 0.201
0.995 0.005 0.329
0.899 0.601 0.863
0.495 0.505 0.329
0.399 0.101 0.863
0.668 0.332 0.556
0.446 0.554 0.927
0.554 0.446 0.073
0.601 0.899 0.137
0.953 0.547 0.271
0.047 0.453 0.729
0.453 0.047 0.271
0.547 0.953 0.729
0.000 0.500 0.000
0.500 0.000 0.000
```

---

Record 16
Tb4HoTm3 | PBE | optimized geometry

```
Tb4HoTm3
1.0
-4.974 -1.417 -2.054
-1.150 -0.719 3.281
-1.511 12.897 2.298
Tm Tb Ho
3 4 1
Direct
0.000 0.500 0.000
0.846 0.999 0.691
0.154 0.001 0.309
0.277 0.499 0.554
0.723 0.501 0.446
0.603 0.500 0.206
0.397 0.500 0.794
0.500 0.000 0.000
```

Output
For the polymorph energy (0 for the lowest one), the calculation gives 4.67 kcal/mol of atoms.

---

Record 17
TbHo2Tm7 | PBE | optimized geometry

```
TbHo2Tm7
1.0
-3.351 -4.588 2.105
6.832 -4.363 -4.442
-2.976 2.080 8.509
Tb Tm Ho
1 7 2
Direct
0.000 0.000 0.000
0.000 0.800 0.200
0.500 0.699 0.799
0.000 0.200 0.800
0.000 0.600 0.399
0.500 0.500 0.000
0.500 0.301 0.201
0.000 0.400 0.601
0.500 0.900 0.600
0.500 0.100 0.400
```

Output
For the polymorph energy (0 for the lowest one), the calculation gives 0.00 kcal/mol of atoms.

---

Record 18
Tb8Ho3Tm3 | PBE | optimized geometry

```
Tb8Ho3Tm3
1.0
5.566 0.000 0.000
2.783 8.737 -2.684
2.783 -0.204 9.138
Tb Tm Ho
8 3 3
Direct
0.658 0.119 0.565
0.840 0.556 0.764
0.342 0.881 0.435
0.160 0.444 0.236
0.342 0.435 0.881
0.658 0.565 0.119
0.840 0.764 0.556
0.160 0.236 0.444
0.500 0.000 0.000
0.000 0.182 0.818
0.000 0.818 0.182
0.200 0.800 0.800
0.500 0.500 0.500
0.800 0.200 0.200
```

Output
For the polymorph energy (0 for the lowest one), the calculation gives 0.11 kcal/mol of atoms.

---

Record 19
TbHoTm | PBE | optimized geometry

```
TbHoTm
1.0
-0.854 1.991 2.765
-1.765 -2.697 1.397
7.515 -1.881 1.445
Tb Tm Ho
1 1 1
Direct
0.000 0.000 0.001
0.667 0.667 0.334
0.332 0.332 0.665
```

Output
For the polymorph energy (0 for the lowest one), the calculation gives 0.00 kcal/mol of atoms.

---

Per-record final energy, eV/atom: -4.39 -4.40 -4.57 -4.44 -4.46 -4.33 -4.54 -4.29 -4.56 -4.29 -4.31 -4.28 -3.85 -4.48 -4.49 -4.36 -4.48 -4.47 -4.54
Per-record ΔE_f, meV/atom: 125 193 5 139 109 243 22 216 6 258 204 278 732 76 119 208 26 119 22